Entry from Alexandria: an optimized crystal structure of InAuNF2 (PBE).

abc: 4.8357 4.8357 3.7688
angles: 90.00 90.00 90.00
With the nearest neighbours (Å) after each atom.
Sites, in units of the cell vectors:
In1 0.0000 0.0000 0.0000  8 F 3.07, 4 N 3.42
Au1 0.5000 0.5000 0.5000  2 N 1.88
N1 0.5000 0.5000 0.0000  2 Au 1.88
F1 0.0000 0.5000 0.5000  2 Au 2.42
F2 0.5000 0.0000 0.5000  2 Au 2.42

Summary:
Formation energy (no corrections) = -3.6 kcal/mol of atoms
Crystal system = tetragonal
M_tot = 0.4 μB/cell
SG = No. 123
Offset from the most stable computed form = 0.187 eV per atom
Calculated volume = 17.63 Å³/atom